Below is La2CdRh after structural relaxation, with properties calculated at the PBE level.

## Properties
* formation enthalpy at 0 K: -104.3 kJ/mol of formula units
* N(E_F): 0.71 states/eV per atom

CIF file:
```
data_La2CdRh
_cell_length_a 3.552
_cell_length_b 3.552
_cell_length_c 8.628
_cell_angle_alpha 90.00
_cell_angle_beta 90.00
_cell_angle_gamma 90.00
_symmetry_space_group_name_H-M 'P 4 m m'
_symmetry_Int_Tables_number 99
loop_
_symmetry_equiv_pos_as_xyz
'x,y,z'
'-y,x,z'
'-x,-y,z'
'y,-x,z'
'-x,y,z'
'y,x,z'
'x,-y,z'
'-y,-x,z'
loop_
_atom_site_label
_atom_site_type_symbol
_atom_site_fract_x
_atom_site_fract_y
_atom_site_fract_z
_atom_site_occupancy
La1 La 0.000 0.000 0.000 1
La2 La 0.500 0.500 0.375 1
Cd1 Cd 0.500 0.500 0.742 1
Rh1 Rh 0.000 0.000 0.557 1
```

---

Below is Li2NpCl5 after structural relaxation, with properties calculated at the PBE level.

## Properties
* E_form (uncorrected): -1.713 eV/atom
* N(E_F): 0.86 states/eV per atom

CIF file:
```
data_Li2NpCl5
_cell_length_a 5.181
_cell_length_b 12.530
_cell_length_c 13.557
_cell_angle_alpha 90.00
_cell_angle_beta 90.00
_cell_angle_gamma 90.00
_symmetry_space_group_name_H-M 'C m c m'
_symmetry_Int_Tables_number 63
_symmetry_space_group_name_Hall '-C 2c 2'
loop_
_atom_site_label
_atom_site_type_symbol
_atom_site_fract_x
_atom_site_fract_y
_atom_site_fract_z
_atom_site_occupancy
Li1 Li 0.000 0.144 0.031 1
Np1 Np 0.000 0.196 0.750 1
Cl1 Cl 0.000 0.036 0.619 1
Cl2 Cl 0.000 0.236 0.250 1
Cl3 Cl 0.000 0.313 0.573 1
```

---

Below is Sm4TlPd after structural relaxation, with properties calculated at the PBE level.

## Properties
* formation enthalpy at 0 K: -203.5 kJ/mol of formula units
* N(E_F): 1.24 states/eV per atom
* excess energy over the best structure of this formula in the dataset: 0.0237 eV per atom

CIF file:
```
data_Sm4TlPd
_cell_length_a 5.966
_cell_length_b 8.398
_cell_length_c 8.415
_cell_angle_alpha 115.74
_cell_angle_beta 102.14
_cell_angle_gamma 102.00
_symmetry_space_group_name_H-M 'P -1'
_symmetry_Int_Tables_number 2
loop_
_symmetry_equiv_pos_as_xyz
'x,y,z'
'-x,-y,-z'
loop_
_atom_site_label
_atom_site_type_symbol
_atom_site_fract_x
_atom_site_fract_y
_atom_site_fract_z
_atom_site_occupancy
Sm1 Sm 0.074 0.303 0.427 1
Sm2 Sm 0.156 0.204 0.855 1
Sm3 Sm 0.344 0.644 0.296 1
Sm4 Sm 0.426 0.074 0.197 1
Tl1 Tl 0.250 0.619 0.882 1
Pd1 Pd 0.250 0.000 0.501 1
```

---

Below is GdCdPb after structural relaxation, with properties calculated at the PBE level.

## Properties
* formation enthalpy at 0 K: -51.4 kJ/mol of formula units
* N(E_F): 1.53 states/eV per atom

CIF file:
```
data_GdCdPb
_cell_length_a 7.110
_cell_length_b 7.110
_cell_length_c 7.110
_cell_angle_alpha 90.00
_cell_angle_beta 90.00
_cell_angle_gamma 90.00
_symmetry_space_group_name_H-M 'F -4 3 m'
_symmetry_Int_Tables_number 216
_symmetry_space_group_name_Hall 'F -4 2 3'
loop_
_atom_site_label
_atom_site_type_symbol
_atom_site_fract_x
_atom_site_fract_y
_atom_site_fract_z
_atom_site_occupancy
Gd1 Gd 0.000 0.000 0.000 1
Cd1 Cd 0.250 0.250 0.750 1
Pb1 Pb 0.000 0.000 0.500 1
```

---

Below is Cd2SiOs after structural relaxation, with properties calculated at the PBE level.

## Properties
* E_form (uncorrected): 0.096 eV/atom
* N(E_F): 0.16 states/eV per atom

CIF file:
```
data_Cd2SiOs
_cell_length_a 3.117
_cell_length_b 3.117
_cell_length_c 7.317
_cell_angle_alpha 90.00
_cell_angle_beta 90.00
_cell_angle_gamma 90.00
_symmetry_space_group_name_H-M 'P 4 m m'
_symmetry_Int_Tables_number 99
loop_
_symmetry_equiv_pos_as_xyz
'x,y,z'
'-y,x,z'
'-x,-y,z'
'y,-x,z'
'-x,y,z'
'y,x,z'
'x,-y,z'
'-y,-x,z'
loop_
_atom_site_label
_atom_site_type_symbol
_atom_site_fract_x
_atom_site_fract_y
_atom_site_fract_z
_atom_site_occupancy
Cd1 Cd 0.000 0.000 0.000 1
Cd2 Cd 0.500 0.500 0.304 1
Si1 Si 0.500 0.500 0.724 1
Os1 Os 0.000 0.000 0.584 1
```

---

Below is AlHPt3 after structural relaxation, with properties calculated at the PBE level.

## Properties
* N(E_F): 0.07 states/eV per atom
* excess energy over the best structure of this formula in the dataset: 1.4541 eV per atom

CIF file:
```
data_AlHPt3
_cell_length_a 4.562
_cell_length_b 4.562
_cell_length_c 4.562
_cell_angle_alpha 90.00
_cell_angle_beta 90.00
_cell_angle_gamma 90.00
_symmetry_space_group_name_H-M 'P m -3 m'
_symmetry_Int_Tables_number 221
_symmetry_space_group_name_Hall '-P 4 2 3'
loop_
_atom_site_label
_atom_site_type_symbol
_atom_site_fract_x
_atom_site_fract_y
_atom_site_fract_z
_atom_site_occupancy
Al1 Al 0.000 0.000 0.000 1
H1 H 0.500 0.500 0.500 1
Pt1 Pt 0.000 0.000 0.500 1
```

---

Below is Rb2ZrAlS after structural relaxation, with properties calculated at the PBE level.

## Properties
* E_form (uncorrected): 0.790 eV/atom
* N(E_F): 0.90 states/eV per atom

CIF file:
```
data_Rb2ZrAlS
_cell_length_a 6.300
_cell_length_b 6.300
_cell_length_c 5.292
_cell_angle_alpha 90.00
_cell_angle_beta 90.00
_cell_angle_gamma 90.00
_symmetry_space_group_name_H-M 'P 4/m m m'
_symmetry_Int_Tables_number 123
_symmetry_space_group_name_Hall '-P 4 2'
loop_
_atom_site_label
_atom_site_type_symbol
_atom_site_fract_x
_atom_site_fract_y
_atom_site_fract_z
_atom_site_occupancy
Rb1 Rb 0.000 0.500 0.000 1
Zr1 Zr 0.000 0.000 0.500 1
Al1 Al 0.000 0.000 0.000 1
S1 S 0.500 0.500 0.500 1
```

---

Below is AlTe2PI after structural relaxation, with properties calculated at the PBE level.

## Properties
* E_form (uncorrected): 0.463 eV/atom
* N(E_F): 1.30 states/eV per atom
* excess energy over the best structure of this formula in the dataset: 0.0000 eV per atom

CIF file:
```
data_AlTe2PI
_cell_length_a 5.359
_cell_length_b 5.359
_cell_length_c 5.423
_cell_angle_alpha 90.00
_cell_angle_beta 90.00
_cell_angle_gamma 90.00
_symmetry_space_group_name_H-M 'P 4/m m m'
_symmetry_Int_Tables_number 123
_symmetry_space_group_name_Hall '-P 4 2'
loop_
_atom_site_label
_atom_site_type_symbol
_atom_site_fract_x
_atom_site_fract_y
_atom_site_fract_z
_atom_site_occupancy
Al1 Al 0.000 0.000 0.000 1
Te1 Te 0.000 0.500 0.500 1
P1 P 0.500 0.500 0.500 1
I1 I 0.500 0.500 0.000 1
```